Computed, not measured: a relaxed structure of Ga2TeAsPt at the PBE level of DFT.

Lattice parameters (Å, degrees): 4.751 5.572 4.751 90.00 90.00 90.00
Fractional positions:
As: 0.500 0.500 0.500
Te: 0.000 0.500 0.000
Ga: 0.000 0.000 0.500
Ga: 0.500 0.000 0.000
Pt: 0.000 0.000 0.000

## Properties
theoretical density: 7.1 g/cm3
E_tot: -19.52 eV for the cell shown
total moment: 0.0 μB per formula unit
raw formation energy: 0.07 eV/atom

=====

Computed, not measured: a relaxed structure of ZrGaAsPt2 at the PBE level of DFT.

Lattice parameters (Å, degrees): 4.633 4.859 4.633 90.00 90.00 90.00
Fractional positions:
As: 0.000 0.500 0.000
Ga: 0.000 0.000 0.000
Zr: 0.500 0.500 0.500
Pt: 0.000 0.000 0.500
Pt: 0.500 0.000 0.000

## Properties
theoretical density: 10.0 g/cm3
E_tot: -27.25 eV for the cell shown
total moment: 0.0 μB per formula unit
formation energy: 0.21 eV per atom

=====

Computed, not measured: a relaxed structure of PuGaAs at the PBE level of DFT.

Lattice parameters (Å, degrees): 3.761 4.444 4.444 120.00 90.00 90.00
Each line ends with the local moment (μB).
Fractional positions:
As: 0.167 0.000 0.000  -0.06
Ga: 0.166 0.333 0.667  0.04
Pu: 0.667 0.667 0.333  5.36

## Properties
theoretical density: 10.0 g/cm3
E_tot: -23.42 eV for the cell shown
total moment: 5.7 μB per formula unit
formation energy: -0.47 eV per atom

=====

Computed, not measured: a relaxed structure of PuGaAs at the PBE level of DFT.

Lattice parameters (Å, degrees): 4.387 3.825 8.304 76.68 90.00 90.00
Each line ends with the local moment (μB).
Fractional positions:
Ga: 0.750 0.469 0.062  -0.02
Ga: 0.250 0.531 0.938  -0.02
As: 0.750 0.320 0.360  -0.13
As: 0.250 0.680 0.640  -0.13
Pu: 0.750 0.141 0.719  5.18
Pu: 0.250 0.859 0.281  5.18

## Properties
theoretical density: 9.5 g/cm3
E_tot: -47.58 eV for the cell shown
total moment: 5.2 μB per formula unit
formation energy: -0.59 eV per atom

=====

Computed, not measured: a relaxed structure of Pu2GaAs at the PBE level of DFT.

Lattice parameters (Å, degrees): 3.993 3.993 7.913 75.39 75.39 60.00
Each line ends with the local moment (μB).
Fractional positions:
As: 0.000 0.000 0.000  -0.13
Ga: 0.500 0.500 0.500  0.13
Pu: 0.256 0.256 0.231  5.26
Pu: 0.744 0.744 0.769  5.26

## Properties
theoretical density: 10.1 g/cm3
E_tot: -37.95 eV for the cell shown
total moment: 11.4 μB per formula unit
formation energy: -0.40 eV per atom

=====

Computed, not measured: a relaxed structure of Pu2GaAs at the PBE level of DFT.

Lattice parameters (Å, degrees): 4.074 4.654 4.654 90.00 90.00 90.00
Each line ends with the local moment (μB).
Fractional positions:
As: 0.500 0.000 0.000  -0.11
Ga: 0.500 0.500 0.500  0.02
Pu: 0.000 0.000 0.500  5.47
Pu: 0.000 0.500 0.000  5.47

## Properties
theoretical density: 11.9 g/cm3
E_tot: -38.54 eV for the cell shown
total moment: 11.5 μB per formula unit
formation energy: -0.55 eV per atom

=====

Computed, not measured: a relaxed structure of PuGa4As at the PBE level of DFT.

Lattice parameters (Å, degrees): 5.509 5.509 5.509 60.00 60.00 60.00
Each line ends with the local moment (μB).
Fractional positions:
As: 0.000 0.000 0.000  0.03
Ga: 0.625 0.625 0.124  0.06
Ga: 0.625 0.124 0.625  0.06
Ga: 0.625 0.625 0.625  0.06
Ga: 0.124 0.625 0.625  0.06
Pu: 0.250 0.250 0.250  5.49

## Properties
theoretical density: 8.4 g/cm3
E_tot: -31.62 eV for the cell shown
total moment: 6.5 μB per formula unit
formation energy: -0.09 eV per atom

=====

Computed, not measured: a relaxed structure of Pu2GaAs3Rh4 at the PBE level of DFT.

Lattice parameters (Å, degrees): 4.167 4.167 10.386 90.00 90.00 90.00
Each line ends with the local moment (μB).
Fractional positions:
Pu: 0.500 0.000 0.253  5.20
Pu: 0.000 0.500 0.747  5.20
Ga: 0.500 0.500 0.500  0.02
As: 0.000 0.000 0.500  -0.03
As: 0.500 0.000 0.864  -0.01
As: 0.000 0.500 0.136  -0.01
Rh: 0.500 0.500 0.000  0.08
Rh: 0.000 0.000 0.000  0.09
Rh: 0.500 0.000 0.632  -0.07
Rh: 0.000 0.500 0.368  -0.07

## Properties
theoretical density: 11.0 g/cm3
E_tot: -82.11 eV for the cell shown
total moment: 10.8 μB per formula unit
formation energy: -0.71 eV per atom

=====

Computed, not measured: a relaxed structure of RbGa2As2 at the PBE level of DFT.

Lattice parameters (Å, degrees): 4.860 4.860 6.107 66.55 66.55 90.00
Fractional positions:
As: 0.750 0.250 0.500
As: 0.250 0.750 0.500
Ga: 0.369 0.369 0.261
Ga: 0.631 0.631 0.739
Rb: 0.000 0.000 0.000

## Properties
theoretical density: 5.2 g/cm3
E_tot: -17.46 eV for the cell shown
total moment: 0.0 μB per formula unit
formation energy: -0.23 eV per atom

=====

Computed, not measured: a relaxed structure of RbGa2As at the PBE level of DFT.

Lattice parameters (Å, degrees): 4.096 4.096 9.929 78.10 78.10 60.00
Fractional positions:
As: 0.500 0.500 0.500
Ga: 0.121 0.121 0.637
Ga: 0.879 0.879 0.363
Rb: 0.000 0.000 0.000

## Properties
theoretical density: 3.6 g/cm3
E_tot: -11.54 eV for the cell shown
total moment: 0.0 μB per formula unit
formation energy: 0.03 eV per atom

=====

Computed, not measured: a relaxed structure of Rb2GaAs2 at the PBE level of DFT.

Lattice parameters (Å, degrees): 14.913 9.229 11.873 61.77 90.00 90.00
Fractional positions:
Rb: 0.617 0.492 0.569
Rb: 0.117 0.508 0.931
Rb: 0.383 0.508 0.431
Rb: 0.883 0.492 0.069
Rb: 0.614 0.205 0.977
Rb: 0.114 0.795 0.523
Rb: 0.386 0.795 0.023
Rb: 0.886 0.205 0.477
Rb: 0.869 0.591 0.593
Rb: 0.369 0.409 0.907
Rb: 0.131 0.409 0.407
Rb: 0.631 0.591 0.093
Rb: 0.871 0.013 0.964
Rb: 0.371 0.987 0.536
Rb: 0.129 0.987 0.036
Rb: 0.629 0.013 0.464
Ga: 0.942 0.001 0.257
Ga: 0.442 0.999 0.243
Ga: 0.558 0.001 0.757
Ga: 0.784 0.856 0.757
Ga: 0.284 0.144 0.743
Ga: 0.216 0.144 0.243
Ga: 0.716 0.856 0.257
Ga: 0.058 0.999 0.743
As: 0.555 0.797 0.260
As: 0.190 0.373 0.713
As: 0.310 0.373 0.213
As: 0.690 0.627 0.787
As: 0.711 0.107 0.728
As: 0.211 0.893 0.772
As: 0.289 0.893 0.272
As: 0.789 0.107 0.228
As: 0.055 0.203 0.240
As: 0.445 0.203 0.740
As: 0.945 0.797 0.760
As: 0.965 0.730 0.279
As: 0.535 0.730 0.779
As: 0.035 0.270 0.721
As: 0.810 0.627 0.287
As: 0.465 0.270 0.221

## Properties
theoretical density: 3.6 g/cm3
E_tot: -133.46 eV for the cell shown
total moment: 0.0 μB per formula unit
formation energy: -0.48 eV per atom

=====

Computed, not measured: a relaxed structure of Rb2GaAs2 at the PBE level of DFT.

Lattice parameters (Å, degrees): 6.765 8.104 12.551 134.76 90.00 114.67
Fractional positions:
Rb: 0.679 0.358 0.533
Rb: 0.321 0.642 0.467
Rb: 0.115 0.231 0.882
Rb: 0.885 0.769 0.118
Ga: 0.340 0.681 0.833
Ga: 0.660 0.319 0.167
As: 0.108 0.216 0.537
As: 0.892 0.784 0.463
As: 0.460 0.921 0.116
As: 0.540 0.079 0.884

## Properties
theoretical density: 3.3 g/cm3
E_tot: -32.52 eV for the cell shown
total moment: 0.0 μB per formula unit
formation energy: -0.40 eV per atom

=====

Computed, not measured: a relaxed structure of RbGa2As2 at the PBE level of DFT.

Lattice parameters (Å, degrees): 4.419 4.419 7.814 73.58 73.58 90.00
Fractional positions:
As: 0.349 0.349 0.302
As: 0.651 0.651 0.698
Ga: 0.750 0.250 0.500
Ga: 0.250 0.750 0.500
Rb: 0.000 0.000 0.000

## Properties
theoretical density: 4.4 g/cm3
E_tot: -18.18 eV for the cell shown
total moment: 0.0 μB per formula unit
formation energy: -0.37 eV per atom